Material: Ba2YIn
Method: DFT, PBEsol
State: optimized geometry

Cell: 3.8700 5.1940 7.3614 Å, 90.00 90.00 90.00°
Atoms (fractional coordinates):
Ba 0.0000 0.0000 0.2356
Ba 0.0000 0.0000 0.7644
Y 0.5000 0.5000 0.5000
In 0.5000 0.5000 0.0000

Output
Total moment, Bohr magnetons per cell: 0.0
Total energy, eV per atom: -3.544
Volume, Å³ per atom: 36.99
Symmetry: No. 47